[1]
PBEsol BiBSeBr2, relaxed; ΔE_f (raw) = 89 kJ per mole of atoms; magnetic moment = 0.06 μB per formula unit; total energy = -14.296 eV per cell; space group = P4/mmm
1.0
5.5694 0.0000 0.0000
0.0000 5.5694 0.0000
0.0000 0.0000 5.5753
Bi B Se Br
1 1 1 2
direct
0.0000 0.0000 0.0000
0.5000 0.5000 0.5000
0.0000 0.0000 0.5000
0.0000 0.5000 0.0000
0.5000 0.0000 0.0000

[2]
PBEsol KSb2TeC, relaxed; ΔE_f (raw) = 251 kJ per mole of atoms; magnetic moment = 1.25 μB per formula unit; total energy = -10.429 eV per cell; space group = P4/mmm
1.0
5.7792 0.0000 0.0000
0.0000 5.7792 0.0000
0.0000 0.0000 5.7550
K Sb Te C
1 2 1 1
direct
0.0000 0.0000 0.0000
0.0000 0.5000 0.0000
0.5000 0.0000 0.0000
0.0000 0.0000 0.5000
0.5000 0.5000 0.5000

[3]
PBEsol Ba12FeSi3S20, relaxed; ΔE_f (raw) = -164 kJ per mole of atoms; magnetic moment = 4.00 μB per formula unit; total energy = -200.826 eV per cell; space group = Pm
1.0
8.4786 0.0000 0.0000
0.0000 9.4830 0.0000
-0.1056 0.0000 11.8013
Ba Fe Si S
12 1 3 20
direct
0.0000 0.0000 0.0000
0.0248 0.2708 0.2998
0.0248 0.7292 0.2998
0.1817 0.2303 0.6653
0.1817 0.7697 0.6653
0.2065 0.5000 0.9605
0.4883 0.5000 0.4584
0.5200 0.2326 0.1586
0.5200 0.7674 0.1586
0.6750 0.2690 0.8005
0.6750 0.7310 0.8005
0.7120 0.0000 0.5026
0.4119 0.0000 0.8864
0.2934 0.0000 0.3835
0.7923 0.5000 0.0790
0.9074 0.5000 0.5788
0.0818 0.0000 0.4764
0.1188 0.5000 0.4863
0.2502 0.0000 0.2056
0.2824 0.5000 0.2178
0.2916 0.1938 0.9278
0.2916 0.8062 0.9278
0.4152 0.1864 0.4258
0.4152 0.8136 0.4258
0.4174 0.5000 0.7154
0.4631 0.0000 0.7062
0.5800 0.5000 0.9848
0.6290 0.0000 0.9805
0.7505 0.5000 0.2568
0.7811 0.0000 0.2394
0.7856 0.3135 0.5352
0.7856 0.6865 0.5352
0.9121 0.3125 0.0369
0.9121 0.6875 0.0369
0.9172 0.0000 0.7459
0.9500 0.5000 0.7567

[4]
PBEsol CaBe2Ni, relaxed; energy of formation = 0.17 eV/atom; magnetic moment = 0.00 μB per formula unit; total energy = -15.598 eV per cell; distance to the lowest polymorph of the same formula = 1.203 eV per formula unit; space group = P4mm
1.0
2.8766 0.0000 0.0000
0.0000 2.8766 0.0000
0.0000 0.0000 6.4804
Ca Be Ni
1 2 1
direct
0.0000 0.0000 0.0000
0.0000 0.0000 0.4742
0.5000 0.5000 0.6540
0.5000 0.5000 0.3226

[5]
PBEsol ZrTl2, relaxed; energy of formation = 0.13 eV/atom; magnetic moment = 0.00 μB per formula unit; total energy = -13.973 eV per cell; space group = P-3m1
1.0
4.9690 0.0000 0.0000
-2.4845 4.3033 0.0000
0.0000 0.0000 3.2778
Zr Tl
1 2
direct
0.0000 0.0000 0.0000
0.3333 0.6667 0.6513
0.6667 0.3333 0.3487

[6]
PBEsol Li2CuPO4, relaxed; ΔE_f (raw) = -190 kJ per mole of atoms; magnetic moment = 0.01 μB per formula unit; total energy = -203.265 eV per cell; distance to the lowest polymorph of the same formula = 0.000 eV per formula unit; space group = Pm
1.0
5.0202 0.0000 0.0000
0.0000 6.1225 0.0000
-0.1437 0.0000 10.6873
Li Cu P O
8 4 4 16
direct
0.0000 0.0000 0.0000
0.0010 0.2484 0.2330
0.0010 0.7516 0.2330
0.1070 0.0000 0.4988
0.5044 0.2558 0.4143
0.5044 0.7442 0.4143
0.6000 0.2538 0.9141
0.6000 0.7462 0.9141
0.0633 0.3030 0.7421
0.0633 0.6970 0.7421
0.5589 0.5000 0.1814
0.5993 0.5000 0.6906
0.0130 0.5000 0.4703
0.1114 0.5000 0.9897
0.4921 0.0000 0.1609
0.6132 0.0000 0.6613
0.0245 0.5000 0.1272
0.1072 0.2898 0.4029
0.1072 0.7102 0.4029
0.1522 0.5000 0.6015
0.1840 0.0000 0.1599
0.4197 0.5000 0.9834
0.4984 0.0000 0.5266
0.5160 0.2015 0.7374
0.5160 0.7985 0.7374
0.5988 0.0000 0.0263
0.6007 0.2013 0.2354
0.6007 0.7987 0.2354
0.7055 0.5000 0.4812
0.9237 0.0000 0.6573
0.9986 0.2893 0.9246
0.9986 0.7107 0.9246

[7]
PBEsol Mn3Br, relaxed; ΔE_f (raw) = 76 kJ per mole of atoms; magnetic moment = 10.63 μB per formula unit; total energy = -28.019 eV per cell; distance to the lowest polymorph of the same formula = 0.000 eV per formula unit; space group = Imm2
1.0
-1.5044 4.2962 2.3532
1.5044 -4.2962 2.3532
1.5044 4.2962 -2.3532
Mn Br
3 1
direct
0.0000 0.0000 0.0000
0.3785 0.6232 0.7552
0.8680 0.6232 0.2448
0.4686 0.9686 0.5000

[8]
PBEsol Be2NbTeRh, relaxed; ΔE_f (raw) = 151 kJ per mole of atoms; magnetic moment = 0.00 μB per formula unit; total energy = -22.640 eV per cell; space group = P4/mmm
1.0
4.3084 0.0000 0.0000
0.0000 4.3084 0.0000
0.0000 0.0000 5.0907
Be Nb Te Rh
2 1 1 1
direct
0.0000 0.5000 0.0000
0.5000 0.0000 0.0000
0.0000 0.0000 0.5000
0.0000 0.0000 0.0000
0.5000 0.5000 0.5000

[9]
PBEsol TlTcW, relaxed; energy of formation = 0.79 eV/atom; magnetic moment = 0.00 μB per formula unit; total energy = -25.333 eV per cell; space group = P3m1
1.0
4.4270 0.0000 0.0000
-2.2135 3.8339 0.0000
0.0000 0.0000 3.0409
Tl Tc W
1 1 1
direct
0.0000 0.0000 0.0000
0.3333 0.6667 0.5673
0.6667 0.3333 0.4479

[10]
PBEsol Sb2MoRh, relaxed; ΔE_f (raw) = -1 kJ per mole of atoms; magnetic moment = 0.00 μB per formula unit; total energy = -29.078 eV per cell; space group = Pmm2
1.0
3.1566 0.0000 0.0000
0.0000 4.9980 0.0000
0.0000 0.0000 4.5714
Sb Mo Rh
2 1 1
direct
0.0000 0.0000 0.0000
0.5000 0.5000 0.2719
0.0000 0.5000 0.7538
0.5000 0.0000 0.5203

[11]
PBEsol YNiMo2, relaxed; energy of formation = 0.54 eV/atom; magnetic moment = 0.00 μB per formula unit; total energy = -34.359 eV per cell; distance to the lowest polymorph of the same formula = 0.467 eV per formula unit; space group = Cmmm
1.0
2.6090 -4.6605 0.0000
2.6090 4.6605 0.0000
0.0000 0.0000 2.7024
Y Ni Mo
1 1 2
direct
0.0000 0.0000 0.0000
0.5000 0.5000 0.0000
0.0000 0.5000 0.5000
0.5000 0.0000 0.5000

[12]
PBEsol CoPbSe2, relaxed; ΔE_f (raw) = -27 kJ per mole of atoms; magnetic moment = 0.00 μB per formula unit; total energy = -20.561 eV per cell; space group = R-3m
1.0
1.7223 0.9944 7.8998
-1.7223 0.9944 7.8998
0.0000 -1.9887 7.8998
Co Pb Se
1 1 2
direct
0.0000 0.0000 0.0000
0.5000 0.5000 0.5000
0.2804 0.2804 0.2804
0.7196 0.7196 0.7196

Sequential theoretical density output: 4.40 3.65 4.25 3.62 11.85 3.49 6.68 6.00 15.64 10.19 8.58 8.67 Mg/m³